Crystalline GaCuSn2Te at its relaxed geometry, computed with GGA-PBE.

Formation energy from raw total energies (meV per atom): 58
Density of states at the Fermi level (states/eV per atom): 0.458

abc: 5.243 5.243 4.657
angles: 90.00 90.00 90.00
Atoms (fractional coordinates):
Sn: 0.500 0.000 0.000
Sn: 0.000 0.500 0.000
Te: 0.500 0.500 0.500
Cu: 0.000 0.000 0.000
Ga: 0.000 0.000 0.500